Computed, not measured: an optimized crystal structure of Ba3Pa2S8 at the PBE-GGA level of DFT.

Cell: 7.8737 8.6791 8.6791 Å, 59.10 70.25 70.25°
Atoms (fractional coordinates):
S 0.8036 0.0855 0.6260
S 0.8269 0.6546 0.6546
S 0.8036 0.6260 0.0855
S 0.1731 0.3454 0.3454
S 0.7773 0.1466 0.1466
S 0.1964 0.3740 0.9145
S 0.2227 0.8534 0.8534
S 0.1964 0.9145 0.3740
Ba 0.0000 0.2547 0.7453
Ba 0.0000 0.7453 0.2547
Ba 0.5000 0.0000 0.0000
Pa 0.0319 0.7462 0.7462
Pa 0.9681 0.2538 0.2538

Output
Its crystal system is monoclinic. As for the raw formation energy: -22.325 eV/f.u. For the raw total energy, the calculation gives -6.16 eV per atom. Its distance to the lowest polymorph of the same formula is 0.0000 eV per atom.

***

Computed, not measured: an optimized crystal structure of Ba2PaS4 at the PBE-GGA level of DFT.

Cell: 5.2700 5.2700 8.7210 Å, 107.59 107.59 90.00°
Site moments in Bohr magnetons follow the coordinates.
Atoms (fractional coordinates):
S 0.1686 0.1686 0.3372  -0.01
S 0.8314 0.8314 0.6628  -0.01
S 0.5000 0.0000 0.0000  -0.02
S 0.0000 0.5000 0.0000  -0.02
Ba 0.3638 0.3638 0.7276  0.01
Ba 0.6362 0.6362 0.2724  0.01
Pa 0.0000 0.0000 0.0000  0.68

Output
Its crystal system is tetragonal. As for the raw formation energy: -13.080 eV/f.u. For the raw total energy, the calculation gives -6.13 eV per atom. Its distance to the lowest polymorph of the same formula is 0.0000 eV per atom. The density of states at the Fermi level is 0.712 states/eV per atom.

***

Computed, not measured: an optimized crystal structure of BaPaS at the PBE-GGA level of DFT.

Cell: 4.2452 4.2621 13.4512 Å, 90.00 90.00 119.87°
Atoms (fractional coordinates):
Ba 0.2786 0.5573 0.8514
Ba 0.2786 0.5573 0.1486
Pa 0.6101 0.2202 0.5946
Pa 0.6101 0.2202 0.4054
S 0.6112 0.2224 0.0000
S 0.2779 0.5558 0.5000

Output
Its crystal system is orthorhombic. As for the raw formation energy: -1.718 eV/f.u. For the raw total energy, the calculation gives -5.75 eV per atom. The density of states at the Fermi level is 1.414 states/eV per atom.